(1)
Here is Pm4Ge2SCl after structural relaxation from the Alexandria database. Energies are from PBE.

```
Pm4Ge2SCl
1.0
-0.369 -4.130 -0.764
4.729 0.574 -5.386
6.767 -1.073 2.537
Pm Ge S Cl
4 2 1 1
direct
0.000 0.762 0.738
0.000 0.238 0.262
0.500 0.756 0.255
0.500 0.244 0.745
0.000 0.000 0.000
0.500 0.000 0.500
0.000 0.500 0.500
0.500 0.500 0.000
```

***

(2)
Here is Pm8Ge3S4Cl after structural relaxation from the Alexandria database. Energies are from PBE.

```
Pm8Ge3S4Cl
1.0
8.304 0.000 0.000
0.000 8.268 -0.031
-4.152 -4.148 5.875
Pm Ge S Cl
8 3 4 1
direct
0.257 0.756 0.999
0.257 0.756 0.514
0.249 0.248 0.499
0.742 0.756 0.999
0.258 0.244 0.001
0.751 0.752 0.501
0.743 0.244 0.486
0.743 0.244 0.001
0.500 0.500 0.000
0.500 0.500 0.500
0.000 0.500 0.500
0.500 0.000 0.000
0.500 0.000 0.500
0.000 0.000 0.000
0.000 0.000 0.500
0.000 0.500 0.000
```

***

(3)
Here is Pm4Ge2SeCl after structural relaxation from the Alexandria database. Energies are from PBE.

```
Pm4Ge2SeCl
1.0
5.949 0.321 0.000
-0.327 5.948 0.000
-2.811 -3.135 5.917
Pm Ge Se Cl
4 2 1 1
direct
0.937 0.437 0.000
0.437 0.937 0.000
0.184 0.184 0.493
0.691 0.691 0.507
0.187 0.687 0.500
0.687 0.187 0.500
0.937 0.937 0.000
0.437 0.437 0.000
```

***

(4)
Here is Pm4GeSeCl2 after structural relaxation from the Alexandria database. Energies are from PBE.

```
Pm4GeSeCl2
1.0
4.248 0.000 0.000
0.000 7.167 -0.072
0.000 2.590 6.826
Pm Ge Se Cl
4 1 1 2
direct
0.000 0.729 0.764
0.000 0.271 0.236
0.500 0.729 0.249
0.500 0.271 0.751
0.500 0.500 0.000
0.000 0.500 0.500
0.000 0.000 0.000
0.500 0.000 0.500
```

***

(5)
Here is Pm6GeSe3Cl2 after structural relaxation from the Alexandria database. Energies are from PBE.

```
Pm6GeSe3Cl2
1.0
-3.844 1.455 -1.029
-0.369 -5.421 -6.290
-1.717 -5.354 7.569
Pm Ge Se Cl
6 1 3 2
direct
0.338 0.937 0.677
0.657 0.593 0.315
0.662 0.063 0.323
0.996 0.242 0.993
0.004 0.758 0.007
0.343 0.407 0.685
0.500 0.000 0.000
0.500 0.500 0.000
0.831 0.169 0.662
0.169 0.831 0.338
0.826 0.658 0.651
0.174 0.342 0.349
```

***

(6)
Here is Pm6Ge2Se3Cl after structural relaxation from the Alexandria database. Energies are from PBE.

```
Pm6Ge2Se3Cl
1.0
-3.842 1.714 0.164
-1.662 -4.400 7.069
5.541 6.943 3.176
Pm Ge Se Cl
6 2 3 1
direct
0.327 0.901 0.655
0.669 0.579 0.338
0.673 0.099 0.345
0.006 0.269 0.012
0.994 0.731 0.988
0.331 0.421 0.662
0.834 0.669 0.668
0.166 0.331 0.332
0.500 0.500 0.000
0.838 0.163 0.675
0.162 0.837 0.325
0.500 0.000 0.000
```

***

Here are the calculated energy relative to the elements, uncorrected numbers, same order: -1.370; -1.571; -1.345; -1.430; -1.543; -1.516 (eV per atom).